Density functional theory data (PBE) for AlCuRe after structural relaxation.

Properties
space group = Cm
final energy = -40.54 eV/cell
density of states at the Fermi level = 2.0 states/eV/f.u.
total moment = 0.0 μB/cell
E_form = 0.6 kJ per mole of atoms

a = 4.5965 Å, b = 4.5965 Å, c = 7.6440 Å
α = 113.36°, β = 113.36°, γ = 35.26°
Element x y z (fractional)
Al: 0.0000 0.0000 0.0000
Al: 0.6772 0.6772 0.3457
Cu: 0.3495 0.3495 0.1880
Cu: 0.6815 0.6815 0.8688
Re: 0.0164 0.0164 0.5272
Re: 0.3388 0.3388 0.6770